Cd2IrCl | GGA-PBE | optimized geometry

Unit cell a=4.821 b=4.821 c=4.821 alpha=60.00 beta=60.00 gamma=60.00
Atoms (fractional coordinates):
Cd (0.250, 0.250, 0.250)
Cd (0.750, 0.750, 0.750)
Ir (0.000, 0.000, 0.000)
Cl (0.500, 0.500, 0.500)

Summary:
formation energy (no corrections)	0.449	eV per atom
DOS(E_F)	0.694	states/eV/atom
magnetic moment	0.0	Bohr magnetons per cell
symmetry	No. 225
ΔE to the lowest computed polymorph	577.4	meV per atom